# RbTe2Se2 | the Alexandria database | PBE | optimized geometry
data_RbTe2Se2
_chemical_formula_sum 'Rb2 Te4 Se4'
_space_group_name_H-M_alt 'P 1'
_space_group_IT_number 1
_space_group_name_Hall 'P 1'
_cell_length_a 5.690
_cell_length_b 5.690
_cell_length_c 11.917
_cell_angle_alpha 90.00
_cell_angle_beta 90.00
_cell_angle_gamma 90.00
loop_
_atom_site_label
_atom_site_type_symbol
_atom_site_fract_x
_atom_site_fract_y
_atom_site_fract_z
_atom_site_occupancy
Rb1 Rb 0.000 0.000 0.000 1
Rb2 Rb 0.500 0.500 0.500 1
Te1 Te 0.000 0.000 0.302 1
Te2 Te 0.000 0.000 0.698 1
Te3 Te 0.500 0.500 0.198 1
Te4 Te 0.500 0.500 0.802 1
Se1 Se 0.000 0.500 0.250 1
Se2 Se 0.000 0.500 0.750 1
Se3 Se 0.500 0.000 0.250 1
Se4 Se 0.500 0.000 0.750 1
# - Mass density: 4.292 g/cm3
# - Energy relative to the elements, uncorrected: -0.340 eV/atom
# - E_tot: -3.184 eV per atom

***

# Zr2TcGeAs | the Alexandria database | PBE | optimized geometry
data_Zr2TcGeAs
_chemical_formula_sum 'Zr2 Tc1 Ge1 As1'
_space_group_name_H-M_alt 'P 1'
_space_group_IT_number 1
_space_group_name_Hall 'P 1'
_cell_length_a 5.003
_cell_length_b 5.003
_cell_length_c 4.513
_cell_angle_alpha 90.00
_cell_angle_beta 90.00
_cell_angle_gamma 90.00
loop_
_atom_site_label
_atom_site_type_symbol
_atom_site_fract_x
_atom_site_fract_y
_atom_site_fract_z
_atom_site_occupancy
Zr1 Zr 0.000 0.500 0.000 1
Zr2 Zr 0.500 0.000 0.000 1
Tc1 Tc 0.000 0.000 0.500 1
Ge1 Ge 0.500 0.500 0.500 1
As1 As 0.000 0.000 0.000 1
# - ΔE_f: 0.344 eV/atom
# - Mass density: 6.291 g/cm3
# - E_tot: -7.002 eV per atom

***

# Tb7Sn2Ge2 | the Alexandria database | PBE | optimized geometry
data_Tb7Sn2Ge2
_chemical_formula_sum 'Tb7 Sn2 Ge2'
_space_group_name_H-M_alt 'P 1'
_space_group_IT_number 1
_space_group_name_Hall 'P 1'
_cell_length_a 6.944
_cell_length_b 6.944
_cell_length_c 6.950
_cell_angle_alpha 90.00
_cell_angle_beta 90.00
_cell_angle_gamma 104.44
loop_
_atom_site_label
_atom_site_type_symbol
_atom_site_fract_x
_atom_site_fract_y
_atom_site_fract_z
_atom_site_occupancy
Tb1 Tb 0.000 0.000 0.000 1
Tb2 Tb 0.000 0.500 0.268 1
Tb3 Tb 0.000 0.500 0.732 1
Tb4 Tb 0.500 0.000 0.268 1
Tb5 Tb 0.500 0.000 0.732 1
Tb6 Tb 0.500 0.500 0.249 1
Tb7 Tb 0.500 0.500 0.751 1
Sn1 Sn 0.180 0.180 0.500 1
Sn2 Sn 0.820 0.820 0.500 1
Ge1 Ge 0.275 0.725 0.000 1
Ge2 Ge 0.725 0.275 0.000 1
# - ΔE_f: -0.429 eV/atom
# - Mass density: 7.650 g/cm3
# - E_tot: -4.943 eV per atom

***

# ReSiF2 | the Alexandria database | PBE | optimized geometry
data_ReSiF2
_chemical_formula_sum 'Re3 Si3 F6'
_space_group_name_H-M_alt 'P 1'
_space_group_IT_number 1
_space_group_name_Hall 'P 1'
_cell_length_a 2.694
_cell_length_b 2.694
_cell_length_c 24.389
_cell_angle_alpha 90.00
_cell_angle_beta 90.00
_cell_angle_gamma 120.00
loop_
_atom_site_label
_atom_site_type_symbol
_atom_site_fract_x
_atom_site_fract_y
_atom_site_fract_z
_atom_site_occupancy
Re1 Re 0.000 0.000 0.000 1
Re2 Re 0.333 0.667 0.667 1
Re3 Re 0.667 0.333 0.333 1
Si1 Si 0.000 0.000 0.500 1
Si2 Si 0.333 0.667 0.167 1
Si3 Si 0.667 0.333 0.833 1
F1 F 0.000 0.000 0.082 1
F2 F 0.000 0.000 0.918 1
F3 F 0.333 0.667 0.584 1
F4 F 0.333 0.667 0.749 1
F5 F 0.667 0.333 0.251 1
F6 F 0.667 0.333 0.416 1
# - Mass density: 8.197 g/cm3
# - Energy relative to the elements, uncorrected: -0.789 eV/atom
# - E_tot: -6.192 eV per atom

***

# PrEr4Ni4 | the Alexandria database | PBE | optimized geometry
data_PrEr4Ni4
_chemical_formula_sum 'Pr2 Er8 Ni8'
_space_group_name_H-M_alt 'P 1'
_space_group_IT_number 1
_space_group_name_Hall 'P 1'
_cell_length_a 8.656
_cell_length_b 8.656
_cell_length_c 5.514
_cell_angle_alpha 90.00
_cell_angle_beta 90.00
_cell_angle_gamma 90.00
loop_
_atom_site_label
_atom_site_type_symbol
_atom_site_fract_x
_atom_site_fract_y
_atom_site_fract_z
_atom_site_occupancy
Pr1 Pr 0.250 0.250 0.250 1
Pr2 Pr 0.750 0.750 0.750 1
Er1 Er 0.076 0.658 0.153 1
Er2 Er 0.158 0.924 0.653 1
Er3 Er 0.342 0.576 0.653 1
Er4 Er 0.424 0.842 0.153 1
Er5 Er 0.576 0.158 0.847 1
Er6 Er 0.658 0.424 0.347 1
Er7 Er 0.842 0.076 0.347 1
Er8 Er 0.924 0.342 0.847 1
Ni1 Ni 0.035 0.611 0.643 1
Ni2 Ni 0.111 0.965 0.143 1
Ni3 Ni 0.389 0.535 0.143 1
Ni4 Ni 0.465 0.889 0.643 1
Ni5 Ni 0.535 0.111 0.357 1
Ni6 Ni 0.611 0.465 0.857 1
Ni7 Ni 0.889 0.035 0.857 1
Ni8 Ni 0.965 0.389 0.357 1
# - ΔE_f: -0.266 eV/atom
# - Mass density: 8.398 g/cm3
# - E_tot: -5.395 eV per atom

***

# UTl2Br8 | the Alexandria database | PBE | optimized geometry
data_UTl2Br8
_chemical_formula_sum 'U1 Tl2 Br8'
_space_group_name_H-M_alt 'P 1'
_space_group_IT_number 1
_space_group_name_Hall 'P 1'
_cell_length_a 8.923
_cell_length_b 8.923
_cell_length_c 6.360
_cell_angle_alpha 95.89
_cell_angle_beta 95.89
_cell_angle_gamma 73.67
loop_
_atom_site_label
_atom_site_type_symbol
_atom_site_fract_x
_atom_site_fract_y
_atom_site_fract_z
_atom_site_occupancy
U1 U 0.000 0.000 0.000 1
Tl1 Tl 0.396 0.396 0.218 1
Tl2 Tl 0.604 0.604 0.782 1
Br1 Br 0.093 0.743 0.211 1
Br2 Br 0.150 0.150 0.294 1
Br3 Br 0.257 0.907 0.789 1
Br4 Br 0.390 0.390 0.727 1
Br5 Br 0.610 0.610 0.273 1
Br6 Br 0.743 0.093 0.211 1
Br7 Br 0.850 0.850 0.706 1
Br8 Br 0.907 0.257 0.789 1
# - Mass density: 4.431 g/cm3
# - Energy relative to the elements, uncorrected: -0.968 eV/atom
# - E_tot: -3.641 eV per atom

***

# PaTlPdAu | the Alexandria database | PBE | optimized geometry
data_PaTlPdAu
_chemical_formula_sum 'Pa4 Tl4 Pd4 Au4'
_space_group_name_H-M_alt 'P 1'
_space_group_IT_number 1
_space_group_name_Hall 'P 1'
_cell_length_a 7.001
_cell_length_b 7.001
_cell_length_c 7.001
_cell_angle_alpha 90.00
_cell_angle_beta 90.00
_cell_angle_gamma 90.00
loop_
_atom_site_label
_atom_site_type_symbol
_atom_site_fract_x
_atom_site_fract_y
_atom_site_fract_z
_atom_site_occupancy
Pa1 Pa 0.000 0.000 0.000 1
Pa2 Pa 0.000 0.500 0.500 1
Pa3 Pa 0.500 0.000 0.500 1
Pa4 Pa 0.500 0.500 0.000 1
Tl1 Tl 0.000 0.000 0.500 1
Tl2 Tl 0.000 0.500 0.000 1
Tl3 Tl 0.500 0.000 0.000 1
Tl4 Tl 0.500 0.500 0.500 1
Pd1 Pd 0.250 0.250 0.250 1
Pd2 Pd 0.250 0.750 0.750 1
Pd3 Pd 0.750 0.250 0.750 1
Pd4 Pd 0.750 0.750 0.250 1
Au1 Au 0.250 0.250 0.750 1
Au2 Au 0.250 0.750 0.250 1
Au3 Au 0.750 0.250 0.250 1
Au4 Au 0.750 0.750 0.750 1
# - ΔE_f: -0.315 eV/atom
# - Mass density: 14.301 g/cm3
# - E_tot: -5.398 eV per atom

***

# ErNp4Sb5 | the Alexandria database | PBE | optimized geometry
data_ErNp4Sb5
_chemical_formula_sum 'Er1 Np4 Sb5'
_space_group_name_H-M_alt 'P 1'
_space_group_IT_number 1
_space_group_name_Hall 'P 1'
_cell_length_a 11.705
_cell_length_b 11.705
_cell_length_c 11.705
_cell_angle_alpha 158.63
_cell_angle_beta 149.26
_cell_angle_gamma 37.74
loop_
_atom_site_label
_atom_site_type_symbol
_atom_site_fract_x
_atom_site_fract_y
_atom_site_fract_z
_atom_site_occupancy
Er1 Er 0.000 0.000 0.000 1
Np1 Np 0.200 0.200 0.000 1
Np2 Np 0.401 0.401 0.000 1
Np3 Np 0.599 0.599 0.000 1
Np4 Np 0.800 0.800 0.000 1
Sb1 Sb 0.099 0.599 0.500 1
Sb2 Sb 0.300 0.800 0.500 1
Sb3 Sb 0.500 0.000 0.500 1
Sb4 Sb 0.700 0.200 0.500 1
Sb5 Sb 0.901 0.401 0.500 1
# - Mass density: 9.599 g/cm3
# - Energy relative to the elements, uncorrected: -0.346 eV/atom
# - E_tot: -8.040 eV per atom

***

# MnBeAs2 | the Alexandria database | PBE | optimized geometry
data_MnBeAs2
_chemical_formula_sum 'Mn4 Be4 As8'
_space_group_name_H-M_alt 'P 1'
_space_group_IT_number 1
_space_group_name_Hall 'P 1'
_cell_length_a 5.958
_cell_length_b 5.958
_cell_length_c 5.958
_cell_angle_alpha 90.00
_cell_angle_beta 90.00
_cell_angle_gamma 90.00
loop_
_atom_site_label
_atom_site_type_symbol
_atom_site_fract_x
_atom_site_fract_y
_atom_site_fract_z
_atom_site_occupancy
Mn1 Mn 0.000 0.000 0.000 1
Mn2 Mn 0.000 0.500 0.500 1
Mn3 Mn 0.500 0.000 0.500 1
Mn4 Mn 0.500 0.500 0.000 1
Be1 Be 0.000 0.000 0.500 1
Be2 Be 0.000 0.500 0.000 1
Be3 Be 0.500 0.000 0.000 1
Be4 Be 0.500 0.500 0.500 1
As1 As 0.250 0.250 0.250 1
As2 As 0.250 0.250 0.750 1
As3 As 0.250 0.750 0.250 1
As4 As 0.250 0.750 0.750 1
As5 As 0.750 0.250 0.250 1
As6 As 0.750 0.250 0.750 1
As7 As 0.750 0.750 0.250 1
As8 As 0.750 0.750 0.750 1
# - ΔE_f: 0.375 eV/atom
# - Mass density: 6.714 g/cm3
# - E_tot: -5.173 eV per atom

***

# Cs2TbCu3F12 | the Alexandria database | PBE | optimized geometry
data_Cs2TbCu3F12
_chemical_formula_sum 'Cs2 Tb1 Cu3 F12'
_space_group_name_H-M_alt 'P 1'
_space_group_IT_number 1
_space_group_name_Hall 'P 1'
_cell_length_a 7.570
_cell_length_b 7.570
_cell_length_c 7.570
_cell_angle_alpha 59.43
_cell_angle_beta 59.43
_cell_angle_gamma 59.43
loop_
_atom_site_label
_atom_site_type_symbol
_atom_site_fract_x
_atom_site_fract_y
_atom_site_fract_z
_atom_site_occupancy
Cs1 Cs 0.112 0.112 0.112 1
Cs2 Cs 0.888 0.888 0.888 1
Tb1 Tb 0.500 0.500 0.500 1
Cu1 Cu 0.000 0.500 0.500 1
Cu2 Cu 0.500 0.000 0.500 1
Cu3 Cu 0.500 0.500 0.000 1
F1 F 0.146 0.588 0.588 1
F2 F 0.198 0.198 0.582 1
F3 F 0.198 0.582 0.198 1
F4 F 0.412 0.412 0.854 1
F5 F 0.412 0.854 0.412 1
F6 F 0.418 0.802 0.802 1
F7 F 0.582 0.198 0.198 1
F8 F 0.588 0.146 0.588 1
F9 F 0.588 0.588 0.146 1
F10 F 0.802 0.418 0.802 1
F11 F 0.802 0.802 0.418 1
F12 F 0.854 0.412 0.412 1
# - Mass density: 4.625 g/cm3
# - Energy relative to the elements, uncorrected: -2.408 eV/atom
# - E_tot: -4.691 eV per atom

***

# CaTaTe2 | the Alexandria database | PBE | optimized geometry
data_CaTaTe2
_chemical_formula_sum 'Ca2 Ta2 Te4'
_space_group_name_H-M_alt 'P 1'
_space_group_IT_number 1
_space_group_name_Hall 'P 1'
_cell_length_a 3.730
_cell_length_b 3.877
_cell_length_c 14.347
_cell_angle_alpha 90.00
_cell_angle_beta 90.00
_cell_angle_gamma 90.00
loop_
_atom_site_label
_atom_site_type_symbol
_atom_site_fract_x
_atom_site_fract_y
_atom_site_fract_z
_atom_site_occupancy
Ca1 Ca 0.000 0.000 0.000 1
Ca2 Ca 0.500 0.500 0.500 1
Ta1 Ta 0.000 0.500 0.251 1
Ta2 Ta 0.500 0.000 0.751 1
Te1 Te 0.000 0.000 0.605 1
Te2 Te 0.000 0.500 0.829 1
Te3 Te 0.500 0.000 0.329 1
Te4 Te 0.500 0.500 0.105 1
# - Mass density: 7.622 g/cm3
# - Energy relative to the elements, uncorrected: -0.474 eV/atom
# - E_tot: -5.508 eV per atom

***

# Mg2GaP2Ru5 | the Alexandria database | PBE | optimized geometry
data_Mg2GaP2Ru5
_chemical_formula_sum 'Mg4 Ga2 P4 Ru10'
_space_group_name_H-M_alt 'P 1'
_space_group_IT_number 1
_space_group_name_Hall 'P 1'
_cell_length_a 9.732
_cell_length_b 9.732
_cell_length_c 3.081
_cell_angle_alpha 90.00
_cell_angle_beta 90.00
_cell_angle_gamma 90.00
loop_
_atom_site_label
_atom_site_type_symbol
_atom_site_fract_x
_atom_site_fract_y
_atom_site_fract_z
_atom_site_occupancy
Mg1 Mg 0.172 0.328 0.000 1
Mg2 Mg 0.328 0.828 0.000 1
Mg3 Mg 0.672 0.172 0.000 1
Mg4 Mg 0.828 0.672 0.000 1
Ga1 Ga 0.000 0.000 0.000 1
Ga2 Ga 0.500 0.500 0.000 1
P1 P 0.131 0.631 0.000 1
P2 P 0.369 0.131 0.000 1
P3 P 0.631 0.869 0.000 1
P4 P 0.869 0.369 0.000 1
Ru1 Ru 0.000 0.500 0.500 1
Ru2 Ru 0.073 0.794 0.500 1
Ru3 Ru 0.206 0.073 0.500 1
Ru4 Ru 0.294 0.573 0.500 1
Ru5 Ru 0.427 0.294 0.500 1
Ru6 Ru 0.500 0.000 0.500 1
Ru7 Ru 0.573 0.706 0.500 1
Ru8 Ru 0.706 0.427 0.500 1
Ru9 Ru 0.794 0.927 0.500 1
Ru10 Ru 0.927 0.206 0.500 1
# - ΔE_f: -0.450 eV/atom
# - Mass density: 7.803 g/cm3
# - E_tot: -6.791 eV per atom